Entry 1:
The following is a PBE calculation of a relaxed Co2CuSe4 crystal, from Alexandria.

Lattice parameters (Å, degrees): 7.0904 7.0904 7.0904 120.05 119.93 90.01
Positions (direct):
1 Co 0.0000 0.0000 0.0000
2 Co 0.5000 0.0000 0.0000
3 Co 0.5000 0.0000 0.5000
4 Co 0.5000 0.5000 0.5000
5 Cu 0.1248 0.3748 0.7500
6 Cu 0.8752 0.6252 0.2500
7 Se 0.2627 0.2372 0.0256
8 Se 0.2628 0.2371 0.4743
9 Se 0.2628 0.7884 0.0257
10 Se 0.2884 0.7628 0.5256
11 Se 0.7116 0.2372 0.4744
12 Se 0.7372 0.2116 0.9743
13 Se 0.7372 0.7629 0.5257
14 Se 0.7373 0.7628 0.9744

## Properties
**Density of states at the Fermi level**: 8.4 states/eV/cell
**ΔE_f (raw)**: -0.309 eV per atom



Entry 2:
The following is a PBE calculation of a relaxed Na2Pu2S5 crystal, from Alexandria.

Lattice parameters (Å, degrees): 7.9796 7.9796 7.5156 90.00 90.00 55.90
Positions (direct):
1 Na 0.2037 0.2037 0.0000
2 Na 0.2963 0.2963 0.5000
3 Na 0.7037 0.7037 0.5000
4 Na 0.7963 0.7963 0.0000
5 Pu 0.1656 0.8344 0.6653
6 Pu 0.3344 0.6656 0.1653
7 Pu 0.6656 0.3344 0.8347
8 Pu 0.8344 0.1656 0.3347
9 S 0.0000 0.0000 0.0000
10 S 0.0224 0.7318 0.3558
11 S 0.2318 0.5224 0.8558
12 S 0.2682 0.9776 0.3558
13 S 0.4776 0.7682 0.8558
14 S 0.5000 0.5000 0.5000
15 S 0.5224 0.2318 0.1442
16 S 0.7318 0.0224 0.6442
17 S 0.7682 0.4776 0.1442
18 S 0.9776 0.2682 0.6442

## Properties
**Density of states at the Fermi level**: 26.5 states/eV/cell
**ΔE_f (raw)**: -1.332 eV per atom



Entry 3:
The following is a PBE calculation of a relaxed Mn2AlV crystal, from Alexandria.

Lattice parameters (Å, degrees): 8.1002 8.1002 8.1002 19.56 19.56 19.56
Positions (direct):
1 Mn 0.2452 0.2452 0.2452
2 Mn 0.7548 0.7548 0.7548
3 Al 0.0000 0.0000 0.0000
4 V 0.5000 0.5000 0.5000

## Properties
**Density of states at the Fermi level**: 4.0 states/eV/cell
**Formation energy**: 0.055 eV per atom



Entry 4:
The following is a PBE calculation of a relaxed KTl6 crystal, from Alexandria.

Lattice parameters (Å, degrees): 7.3924 7.3924 7.3924 90.00 90.00 90.00
Positions (direct):
1 K 0.0000 0.0000 0.0000
2 Tl 0.1967 0.5000 0.5000
3 Tl 0.5000 0.1967 0.5000
4 Tl 0.5000 0.5000 0.1967
5 Tl 0.5000 0.5000 0.8033
6 Tl 0.5000 0.8033 0.5000
7 Tl 0.8033 0.5000 0.5000

## Properties
**Density of states at the Fermi level**: 2.8 states/eV/cell
**Formation energy**: 0.293 eV per atom



Entry 5:
The following is a PBE calculation of a relaxed NaPmTlCu crystal, from Alexandria.

Lattice parameters (Å, degrees): 5.1720 5.1720 5.1720 60.00 60.00 60.00
Positions (direct):
1 Na 0.0000 0.0000 0.0000
2 Pm 0.5000 0.5000 0.5000
3 Tl 0.7500 0.7500 0.7500
4 Cu 0.2500 0.2500 0.2500

## Properties
**Density of states at the Fermi level**: 3.3 states/eV/cell
**Formation energy**: -0.038 eV per atom



Entry 6:
The following is a PBE calculation of a relaxed Ga2CoTcGe crystal, from Alexandria.

Lattice parameters (Å, degrees): 4.4900 4.4900 4.3841 90.00 90.00 90.00
Positions (direct):
1 Ga 0.0000 0.5000 0.0000
2 Ga 0.5000 0.0000 0.0000
3 Co 0.0000 0.0000 0.0000
4 Tc 0.5000 0.5000 0.5000
5 Ge 0.0000 0.0000 0.5000

## Properties
**Density of states at the Fermi level**: 3.4 states/eV/cell
**Formation energy**: 0.579 eV per atom



Entry 7:
The following is a PBE calculation of a relaxed Ac2InPd7 crystal, from Alexandria.

Lattice parameters (Å, degrees): 4.1571 4.1571 12.4107 90.00 90.00 90.00
Positions (direct):
1 Ac 0.0000 0.5000 0.2262
2 Ac 0.5000 0.0000 0.7738
3 In 0.0000 0.0000 0.5000
4 Pd 0.0000 0.0000 0.0000
5 Pd 0.0000 0.5000 0.6459
6 Pd 0.0000 0.5000 0.8578
7 Pd 0.5000 0.0000 0.1422
8 Pd 0.5000 0.0000 0.3541
9 Pd 0.5000 0.5000 0.0000
10 Pd 0.5000 0.5000 0.5000

## Properties
**Density of states at the Fermi level**: 4.3 states/eV/cell
**Formation energy**: -0.603 eV per atom



Entry 8:
The following is a PBE calculation of a relaxed Pm4Tl2O crystal, from Alexandria.

Lattice parameters (Å, degrees): 12.0927 12.0927 3.5578 90.00 90.00 155.64
Positions (direct):
1 Pm 0.0690 0.9310 0.0000
2 Pm 0.2012 0.7988 0.5000
3 Pm 0.7988 0.2012 0.5000
4 Pm 0.9310 0.0690 0.0000
5 Tl 0.3420 0.6580 0.0000
6 Tl 0.6580 0.3420 0.0000
7 O 0.0000 0.0000 0.5000

## Properties
**Density of states at the Fermi level**: 5.2 states/eV/cell
**ΔE_f (raw)**: -0.755 eV per atom



Entry 9:
The following is a PBE calculation of a relaxed ScH3Pd3 crystal, from Alexandria.

Lattice parameters (Å, degrees): 5.3448 5.3448 5.3448 90.00 90.00 90.00
Positions (direct):
1 Sc 0.0000 0.0000 0.0000
2 Sc 0.5000 0.5000 0.5000
3 H 0.0000 0.2500 0.5000
4 H 0.0000 0.7500 0.5000
5 H 0.2500 0.5000 0.0000
6 H 0.5000 0.0000 0.2500
7 H 0.5000 0.0000 0.7500
8 H 0.7500 0.5000 0.0000
9 Pd 0.0000 0.5000 0.2500
10 Pd 0.0000 0.5000 0.7500
11 Pd 0.2500 0.0000 0.5000
12 Pd 0.5000 0.2500 0.0000
13 Pd 0.5000 0.7500 0.0000
14 Pd 0.7500 0.0000 0.5000

## Properties
**Density of states at the Fermi level**: 0.6 states/eV/cell



Entry 10:
The following is a PBE calculation of a relaxed Li2MgSnCl6 crystal, from Alexandria.

Lattice parameters (Å, degrees): 7.1686 7.1686 7.1686 55.03 55.03 55.03
Positions (direct):
1 Li 0.0000 0.0000 0.0000
2 Li 0.4939 0.4939 0.4939
3 Mg 0.6907 0.6907 0.6907
4 Sn 0.1974 0.1974 0.1974
5 Cl 0.0895 0.4253 0.7650
6 Cl 0.2877 0.8773 0.6377
7 Cl 0.4253 0.7650 0.0895
8 Cl 0.6377 0.2877 0.8773
9 Cl 0.7650 0.0895 0.4253
10 Cl 0.8773 0.6377 0.2877

## Properties
**Density of states at the Fermi level**: 0.0 states/eV/cell
**ΔE_f (raw)**: -1.546 eV per atom



Entry 11:
The following is a PBE calculation of a relaxed SiTcNi3 crystal, from Alexandria.

Lattice parameters (Å, degrees): 4.1703 4.1703 4.1703 90.00 90.00 90.00
Positions (direct):
1 Si 0.0000 0.0000 0.0000
2 Tc 0.5000 0.5000 0.5000
3 Ni 0.0000 0.0000 0.5000
4 Ni 0.0000 0.5000 0.0000
5 Ni 0.5000 0.0000 0.0000

## Properties
**Density of states at the Fermi level**: 6.0 states/eV/cell
**ΔE_f (raw)**: 0.683 eV per atom



Entry 12:
The following is a PBE calculation of a relaxed MnCdFe2 crystal, from Alexandria.

Lattice parameters (Å, degrees): 2.9754 2.9754 6.4320 90.00 90.00 90.00
Positions (direct):
1 Mn 0.0000 0.0000 0.0000
2 Cd 0.5000 0.5000 0.2985
3 Fe 0.0000 0.0000 0.5870
4 Fe 0.5000 0.5000 0.7796

## Properties
**Density of states at the Fermi level**: 5.0 states/eV/cell
**Formation energy**: 0.230 eV per atom



| no. | energy (eV/atom) |
| --- | --- |
| 1 | -4.916 |
| 2 | -7.103 |
| 3 | -7.745 |
| 4 | -1.892 |
| 5 | -3.171 |
| 6 | -5.049 |
| 7 | -5.333 |
| 8 | -4.854 |
| 9 | -5.023 |
| 10 | -3.597 |
| 11 | -5.944 |
| 12 | -6.523 |